# 1
Density functional theory data (PBE) for a relaxed DyGa2Cu6 crystal.

Output
**D(E_F)**: 0.42 states/eV per atom
**E_tot**: -0.2908 Ry per atom
**Size of the total moment**: 0.000 μB/f.u.

abc: 7.190 7.190 7.190
angles: 152.59 123.47 63.95
Atoms (fractional coordinates):
1 Dy 0.000 0.000 0.000
2 Ga 0.360 0.860 0.500
3 Ga 0.640 0.140 0.500
4 Cu 0.004 0.319 0.685
5 Cu 0.330 0.500 0.830
6 Cu 0.367 0.681 0.685
7 Cu 0.633 0.319 0.315
8 Cu 0.670 0.500 0.170
9 Cu 0.996 0.681 0.315

# 2
Density functional theory data (PBE) for a relaxed DyGa4Cu12 crystal.

Output
**D(E_F)**: 0.52 states/eV per atom
**E_tot**: -0.2626 Ry per atom
**Size of the total moment**: 0.000 μB/f.u.

abc: 7.143 7.143 7.143
angles: 109.47 109.47 109.47
Atoms (fractional coordinates):
1 Dy 0.000 0.000 0.000
2 Ga 0.000 0.000 0.500
3 Ga 0.000 0.500 0.000
4 Ga 0.500 0.000 0.000
5 Ga 0.500 0.500 0.500
6 Cu 0.147 0.355 0.502
7 Cu 0.147 0.645 0.793
8 Cu 0.207 0.853 0.355
9 Cu 0.355 0.207 0.853
10 Cu 0.355 0.502 0.147
11 Cu 0.498 0.853 0.645
12 Cu 0.502 0.147 0.355
13 Cu 0.645 0.498 0.853
14 Cu 0.645 0.793 0.147
15 Cu 0.793 0.147 0.645
16 Cu 0.853 0.355 0.207
17 Cu 0.853 0.645 0.498

# 3
Density functional theory data (PBE) for a relaxed Dy3Ga7Cu2 crystal.

Output
**D(E_F)**: 0.49 states/eV per atom
**E_tot**: -0.3025 Ry per atom
**Size of the total moment**: 0.000 μB/f.u.

abc: 4.183 4.174 13.212
angles: 90.00 99.03 90.00
Atoms (fractional coordinates):
1 Dy 0.000 0.000 0.000
2 Dy 0.316 0.500 0.632
3 Dy 0.684 0.500 0.368
4 Ga 0.083 0.500 0.169
5 Ga 0.225 0.000 0.449
6 Ga 0.416 0.000 0.831
7 Ga 0.500 0.500 0.000
8 Ga 0.584 0.000 0.169
9 Ga 0.775 0.000 0.551
10 Ga 0.917 0.500 0.831
11 Cu 0.133 0.000 0.266
12 Cu 0.867 0.000 0.734

# 4
Density functional theory data (PBE) for a relaxed DyGaCu3 crystal.

Output
**D(E_F)**: 0.40 states/eV per atom
**Size of the total moment**: 0.000 μB/f.u.
**Distance to the lowest polymorph of the same formula**: 0 meV per atom

abc: 6.345 6.345 6.345
angles: 133.36 112.85 85.71
Atoms (fractional coordinates):
1 Dy 0.257 0.007 0.250
2 Dy 0.743 0.993 0.750
3 Ga 0.000 0.500 0.500
4 Ga 0.500 0.500 0.000
5 Cu 0.190 0.000 0.690
6 Cu 0.190 0.500 0.190
7 Cu 0.438 0.688 0.750
8 Cu 0.562 0.312 0.250
9 Cu 0.810 0.000 0.310
10 Cu 0.810 0.500 0.810

# 5
Density functional theory data (PBE) for a relaxed Dy3Ga2Cu7 crystal.

Output
**D(E_F)**: 0.50 states/eV per atom
**E_tot**: -0.3081 Ry per atom
**Size of the total moment**: 0.000 μB/f.u.

abc: 13.750 13.750 13.750
angles: 163.45 163.45 23.49
Atoms (fractional coordinates):
1 Dy 0.000 0.000 0.000
2 Dy 0.173 0.173 0.000
3 Dy 0.827 0.827 0.000
4 Ga 0.369 0.369 0.000
5 Ga 0.631 0.631 0.000
6 Cu 0.076 0.576 0.500
7 Cu 0.276 0.276 0.000
8 Cu 0.424 0.924 0.500
9 Cu 0.500 0.500 0.000
10 Cu 0.576 0.076 0.500
11 Cu 0.724 0.724 0.000
12 Cu 0.924 0.424 0.500

# 6
Density functional theory data (PBE) for a relaxed Dy2Ga2Cu crystal.

Output
**D(E_F)**: 0.57 states/eV per atom
**Size of the total moment**: 0.000 μB/f.u.
**Distance to the lowest polymorph of the same formula**: 0 meV per atom

abc: 5.660 5.660 10.509
angles: 115.87 115.87 45.15
Atoms (fractional coordinates):
1 Dy 0.018 0.018 0.333
2 Dy 0.188 0.188 0.108
3 Dy 0.812 0.812 0.892
4 Dy 0.982 0.982 0.667
5 Ga 0.356 0.356 0.437
6 Ga 0.480 0.480 0.116
7 Ga 0.520 0.520 0.884
8 Ga 0.644 0.644 0.563
9 Cu 0.273 0.273 0.654
10 Cu 0.727 0.727 0.346

# 7
Density functional theory data (PBE) for a relaxed DyGa2Cu4 crystal.

Output
**D(E_F)**: 0.48 states/eV per atom
**Size of the total moment**: 0.000 μB/f.u.
**Distance to the lowest polymorph of the same formula**: 466 meV per atom

abc: 5.749 5.749 5.749
angles: 102.46 102.46 124.63
Atoms (fractional coordinates):
1 Dy 0.000 0.000 0.000
2 Ga 0.250 0.750 0.500
3 Ga 0.750 0.250 0.500
4 Cu 0.273 0.500 0.773
5 Cu 0.500 0.273 0.773
6 Cu 0.500 0.727 0.227
7 Cu 0.727 0.500 0.227

# 8
Density functional theory data (PBE) for a relaxed Dy2Ga7Cu crystal.

Output
**D(E_F)**: 0.27 states/eV per atom
**E_tot**: -0.2821 Ry per atom
**Size of the total moment**: 0.000 μB/f.u.

abc: 4.166 4.166 10.844
angles: 90.00 90.00 90.00
Atoms (fractional coordinates):
1 Dy 0.000 0.500 0.242
2 Dy 0.500 0.000 0.758
3 Ga 0.000 0.000 0.000
4 Ga 0.000 0.000 0.500
5 Ga 0.000 0.500 0.644
6 Ga 0.000 0.500 0.869
7 Ga 0.500 0.000 0.131
8 Ga 0.500 0.000 0.356
9 Ga 0.500 0.500 0.500
10 Cu 0.500 0.500 0.000